Density functional theory data (PBEsol) for a geometry-optimized Y2MnCr structure.

Output
magnetic moment = 6.3 μB per cell
calculated volume = 83.9 Å³ per cell
total DFT energy (no corrections) = -7.982 eV per atom

Cell: 4.962 4.962 3.406 Å, 90.00 90.00 90.00°
Fractional coordinates of all 4 atoms:
Y 0.000 0.500 0.000
Y 0.500 0.000 0.000
Mn 0.000 0.000 0.500
Cr 0.500 0.500 0.500